This record from Alexandria via LeMat-Bulk describes a relaxed VReRhCl2 crystal. The functional is PBE.

Cell lengths 4.3534, 4.3534, 5.0941 Å; angles 90.00, 90.00, 90.00 degrees
Closest atoms and distances in Å follow each position.
Fractional positions:
V (0.0000, 0.0000, 0.0000)  4 Cl 2.18
Re (0.0000, 0.0000, 0.5000)  2 V 2.55
Rh (0.5000, 0.5000, 0.5000)  4 Re 3.08, 8 Cl 3.35
Cl (0.0000, 0.5000, 0.0000)  2 V 2.18
Cl (0.5000, 0.0000, 0.0000)  2 V 2.18

Density of states at the Fermi level   1.227 states/eV/atom
Formation energy (no corrections)   1.077 eV/atom
Magnetic moment   2.12 μB/f.u.